i:
Here is an optimized crystal structure of Ac2Zn2Ni3 from the Alexandria database. Energies are from GGA-PBE.

Its crystal system is orthorhombic. The calculation puts the total magnetic moment at 0.00 μB/cell.

Cell: 4.215 18.296 7.357 Å, 90.00 90.00 90.00°
Space group Cmcm (No. 63)
One atom of each set of equivalent atoms:
Ac 0.000 0.062 0.250 [4 per cell]
Ac 0.000 0.153 0.750 [4 per cell]
Zn 0.000 0.308 0.562 [8 per cell]
Ni 0.000 0.224 0.250 [4 per cell]
Ni 0.000 0.444 0.080 [8 per cell]

=====

ii:
Here is an optimized crystal structure of Ac2Zn2Ni3 from the Alexandria database. Energies are from GGA-PBE.

Its crystal system is cubic. The calculation puts the total magnetic moment at 0.00 μB/cell.

Cell: 8.469 8.469 8.469 Å, 90.00 90.00 90.00°
Space group I2_13 (No. 199)
One atom of each set of equivalent atoms:
Ac 0.008 0.492 0.508 [8 per cell]
Zn 0.223 0.277 0.723 [8 per cell]
Ni 0.000 0.250 0.208 [12 per cell]

=====

Energies relative to the minimum, meV per atom: i 0; ii 142

=====

i:
Here is an optimized crystal structure of Ac2NpO6 from the Alexandria database. Energies are from GGA-PBE.

Its crystal system is orthorhombic. The calculation puts the total magnetic moment at 2.00 μB/cell.

Cell: 6.130 6.169 9.682 Å, 90.00 90.00 90.00°
Space group Pnnm (No. 58)
One atom of each set of equivalent atoms:
Ac 0.000 0.000 0.213 [4 per cell]
Np 0.000 0.500 0.500 [2 per cell]
O 0.145 0.310 0.344 [8 per cell]
O 0.210 0.158 0.000 [4 per cell]

=====

ii:
Here is an optimized crystal structure of Ac2NpO6 from the Alexandria database. Energies are from GGA-PBE.

Its crystal system is tetragonal. The calculation puts the total magnetic moment at 2.00 μB/cell.

Cell: 5.390 5.390 11.238 Å, 90.00 90.00 90.00°
Space group P4_2/mnm (No. 136)
One atom of each set of equivalent atoms:
Ac 0.000 0.000 0.167 [4 per cell]
Np 0.000 0.000 0.500 [2 per cell]
O 0.177 0.177 0.356 [8 per cell]
O 0.228 0.228 0.000 [4 per cell]

=====

Energies relative to the minimum, meV per atom: i 0; ii 28